No. 1
The following is a DFT calculation (GGA+U) of a relaxed Li3NbCo4O8 crystal.

Raw total energy, eV/atom: -6.3950
Space group: C2/m

abc: 6.0136 6.0136 6.1201
angles: 120.44 120.44 61.03
Closest atoms and distances in Å follow each position.
Positions (direct):
Li  0.0000  0.0000  0.0000  6 O 2.18-2.27
Li  0.0000  0.5000  0.5000  6 O 2.06-2.25
Li  0.5000  0.0000  0.5000  6 O 2.06-2.25
Nb  0.5000  0.5000  0.5000  6 O 2.02-2.05
Co  0.0000  0.0000  0.5000  6 O 2.10-2.16
Co  0.0000  0.5000  0.0000  6 O 2.08-2.16
Co  0.5000  0.0000  0.0000  6 O 2.08-2.16
Co  0.5000  0.5000  0.0000  6 O 2.10-2.16
O  0.2496  0.2496  0.7691  4 Co 2.08-2.10, 2 Li 2.25
O  0.2583  0.7327  0.7328  1 Nb 2.05, 2 Li 2.06-2.27, 3 Co 2.14-2.16
O  0.2595  0.2595  0.2590  1 Nb 2.02, 2 Co 2.16, 3 Li 2.17-2.18
O  0.2673  0.7417  0.2672  1 Nb 2.05, 2 Li 2.06-2.27, 3 Co 2.14-2.16
O  0.7327  0.2583  0.7328  1 Nb 2.05, 2 Li 2.06-2.27, 3 Co 2.14-2.16
O  0.7405  0.7405  0.7410  1 Nb 2.02, 2 Co 2.16, 3 Li 2.17-2.18
O  0.7417  0.2673  0.2672  1 Nb 2.05, 2 Li 2.06-2.27, 3 Co 2.14-2.16
O  0.7504  0.7504  0.2309  4 Co 2.08-2.10, 2 Li 2.25



No. 2
The following is a DFT calculation (GGA+U) of a relaxed Li4Nb2Co3Sn3O16 crystal.

Raw total energy, eV/atom: -6.6477
Space group: Cm

abc: 6.1708 6.1708 9.9129
angles: 90.34 90.34 59.79
Closest atoms and distances in Å follow each position.
Positions (direct):
Li  0.0000  0.0000  0.0000  1 O 1.83
Li  0.0064  0.0064  0.4876  4 O 1.84-2.05
Li  0.3398  0.3398  0.5792  4 O 2.02-2.09
Li  0.6850  0.6850  0.0831  4 O 1.99-2.05
Nb  0.3618  0.3618  0.0078  5 O 1.89-2.08
Nb  0.6864  0.6864  0.4876  3 O 1.87-2.00
Co  0.1840  0.6714  0.2731  6 O 2.01-2.22
Co  0.6714  0.1840  0.2731  6 O 2.01-2.22
Co  0.8366  0.8366  0.7720  6 O 2.05-2.18
Sn  0.1819  0.1819  0.2687  6 O 2.02-2.20
Sn  0.3452  0.8401  0.7705  6 O 2.05-2.18
Sn  0.8401  0.3452  0.7705  6 O 2.05-2.18
O  0.0043  0.0043  0.6734  1 Li 1.84, 1 Co 2.05, 2 Sn 2.05
O  0.0101  0.0101  0.1840  1 Li 1.83, 2 Co 2.01, 1 Sn 2.02
O  0.0514  0.4864  0.1327  1 Li 2.02, 1 Nb 2.08, 1 Sn 2.12, 1 Co 2.20
O  0.1675  0.1675  0.8899  1 Li 2.10, 2 Sn 2.11
O  0.1788  0.6702  0.8930  1 Nb 2.01, 1 Li 2.05, 1 Sn 2.18, 1 Co 2.18
O  0.3444  0.3444  0.3758  1 Li 2.02, 2 Co 2.02, 1 Sn 2.03
O  0.3517  0.8462  0.3971  1 Nb 2.00, 1 Li 2.05, 1 Co 2.20, 1 Sn 2.20
O  0.4864  0.0514  0.1327  1 Li 2.02, 1 Nb 2.08, 1 Sn 2.12, 1 Co 2.20
O  0.4982  0.4982  0.1302  1 Nb 1.89, 1 Li 2.05
O  0.5212  0.5212  0.6450  1 Li 2.04, 2 Sn 2.11
O  0.5224  0.9648  0.6384  1 Li 2.09, 1 Sn 2.09, 1 Nb 2.11, 1 Co 2.14
O  0.6702  0.1788  0.8930  1 Nb 2.01, 1 Li 2.05, 1 Sn 2.18, 1 Co 2.18
O  0.6722  0.6722  0.8827  1 Li 1.99, 2 Sn 2.07, 1 Co 2.08
O  0.8403  0.8403  0.3992  1 Nb 1.87, 1 Li 1.98
O  0.8462  0.3517  0.3971  1 Nb 2.00, 1 Li 2.05, 1 Co 2.20, 1 Sn 2.20
O  0.9648  0.5224  0.6384  1 Li 2.09, 1 Sn 2.09, 1 Nb 2.11, 1 Co 2.14



No. 3
The following is a DFT calculation (GGA+U) of a relaxed Li4Ti2Nb3Co3O16 crystal.

Raw total energy, eV/atom: -7.5109
Space group: Cm

abc: 6.0299 6.0299 9.8161
angles: 90.04 90.04 60.32
Closest atoms and distances in Å follow each position.
Positions (direct):
Li  0.0000  0.0000  0.0000  4 O 1.95-2.05
Li  0.3293  0.3293  0.4815  4 O 1.91-1.99
Li  0.5883  0.5883  0.5653  3 O 1.86-1.97
Li  0.6797  0.6797  0.0922  4 O 1.89-2.06
Ti  0.0327  0.0327  0.5823  3 O 1.83-1.89
Ti  0.3497  0.3497  0.1073  3 O 1.81-1.91
Nb  0.0156  0.5104  0.8080  6 O 1.96-2.15
Nb  0.5104  0.0156  0.8080  6 O 1.96-2.15
Nb  0.8509  0.8509  0.3303  4 O 1.95-1.99
Co  0.3316  0.8476  0.3017  6 O 2.03-2.24
Co  0.4783  0.4783  0.8121  6 O 2.07-2.30
Co  0.8476  0.3316  0.3017  6 O 2.03-2.24
O  0.0237  0.5117  0.1937  1 Ti 1.91, 1 Li 2.06
O  0.1486  0.7046  0.4495  1 Nb 1.95, 1 Li 1.99, 1 Ti 2.17
O  0.1496  0.1496  0.4434  1 Ti 1.83, 1 Li 1.91
O  0.1672  0.6259  0.9478  1 Nb 1.96, 1 Li 2.03, 1 Co 2.11, 1 Ti 2.15
O  0.1815  0.1815  0.9191  2 Nb 2.04, 1 Li 2.05
O  0.3227  0.3227  0.6819  1 Li 1.97, 2 Nb 2.04, 1 Co 2.07
O  0.3326  0.8482  0.6879  1 Ti 1.89, 1 Li 1.97
O  0.5071  0.5071  0.1844  1 Ti 1.81, 1 Li 2.01
O  0.5117  0.0237  0.1937  1 Ti 1.91, 1 Li 2.06
O  0.6259  0.1672  0.9478  1 Nb 1.96, 1 Li 2.03, 1 Co 2.11, 1 Ti 2.15
O  0.6681  0.6681  0.8998  1 Li 1.89, 2 Nb 2.03
O  0.6753  0.6753  0.3996  1 Li 1.86, 1 Nb 1.95, 2 Co 2.04
O  0.7046  0.1486  0.4495  1 Nb 1.95, 1 Li 1.99, 1 Ti 2.17
O  0.8449  0.8449  0.7033  2 Nb 2.03
O  0.8482  0.3326  0.6879  1 Ti 1.89, 1 Li 1.97
O  0.9959  0.9959  0.1981  1 Li 1.95, 1 Nb 1.99, 2 Co 2.03



No. 4
The following is a DFT calculation (GGA+U) of a relaxed Li4Nb2V3Co3O16 crystal.

Raw total energy, eV/atom: -7.1589
Space group: Cm

abc: 5.9715 5.9715 9.7838
angles: 90.90 90.90 60.42
Closest atoms and distances in Å follow each position.
Positions (direct):
Li  0.0000  0.0000  0.0000  4 O 1.85-2.02
Li  0.0067  0.0067  0.4942  4 O 1.85-1.99
Li  0.3389  0.3389  0.0849  4 O 1.98-1.99
Li  0.6713  0.6713  0.5827  4 O 2.01-2.06
Nb  0.3461  0.3461  0.4870  3 O 1.90-1.91
Nb  0.6540  0.6540  0.9989  5 O 1.92-2.12
V  0.1584  0.6566  0.7689  4 O 1.82-2.03
V  0.6566  0.1584  0.7689  4 O 1.82-2.03
V  0.8316  0.8316  0.2591  4 O 1.86-1.93
Co  0.1715  0.1715  0.7791  6 O 2.03-2.15
Co  0.3496  0.8433  0.2766  6 O 2.01-2.18
Co  0.8433  0.3496  0.2766  6 O 2.01-2.18
O  0.0390  0.5020  0.6495  1 V 1.82, 1 Li 2.01
O  0.1741  0.6682  0.3967  1 Nb 1.90, 1 Li 1.99
O  0.1758  0.1758  0.4066  1 Nb 1.91, 1 Li 1.96, 2 Co 2.14
O  0.3310  0.8268  0.8926  1 Nb 1.97, 1 Li 2.02, 1 Co 2.12, 1 V 2.13
O  0.3497  0.3497  0.8817  2 V 1.96, 1 Li 1.99, 1 Co 2.08
O  0.4844  0.4844  0.6531  2 V 2.05, 1 Li 2.06, 1 Nb 2.14
O  0.5020  0.0390  0.6495  1 V 1.82, 1 Li 2.01
O  0.5252  0.5252  0.1388  1 Nb 1.92, 1 Li 1.99, 2 Co 2.13
O  0.5392  0.9708  0.1351  1 V 1.93, 1 Li 1.98, 1 Nb 2.12
O  0.6682  0.1741  0.3967  1 Nb 1.90, 1 Li 1.99
O  0.6931  0.6931  0.3791  1 V 1.87, 1 Li 2.01, 2 Co 2.04
O  0.8268  0.3310  0.8926  1 Nb 1.97, 1 Li 2.02, 1 Co 2.12, 1 V 2.13
O  0.8363  0.8363  0.8840  1 Li 2.02, 2 V 2.03, 1 Nb 2.21
O  0.9708  0.5392  0.1351  1 V 1.93, 1 Li 1.98, 1 Nb 2.12
O  0.9957  0.9957  0.6830  1 Li 1.85, 2 V 1.96, 1 Co 2.03
O  0.9978  0.9978  0.1893  1 Li 1.85, 1 V 1.86, 2 Co 2.01